Record 1
The following is a meta-GGA SCAN calculation of La2YIn at its PBEsol-relaxed geometry, from Alexandria via LeMat-Bulk.

Properties
- energy of formation from the pure elements (eV per atom) = -0.34
- uncorrected energy (eV/atom) = -37.20
- DOS at the Fermi energy (states/eV per atom) = 1.062

Structure (POSCAR):
```
La2YIn
1.0
3.908 0.000 0.000
0.000 5.540 0.000
-1.954 -2.770 5.734
Y La In
1 2 1
Direct
0.529 0.529 0.059 Y
0.975 0.975 0.950 La
0.754 0.254 0.507 La
0.242 0.742 0.484 In
```

---

Record 2
The following is a meta-GGA SCAN calculation of LaYIn at its PBEsol-relaxed geometry, from Alexandria via LeMat-Bulk.

Properties
- energy of formation from the pure elements (eV per atom) = -0.41
- uncorrected energy (eV/atom) = -35.19
- ΔE to the lowest computed polymorph (meV per atom) = 3.4
- DOS at the Fermi energy (states/eV per atom) = 0.775

Structure (POSCAR):
```
LaYIn
1.0
-1.561 2.105 -2.402
0.315 -2.559 -2.447
-5.644 -2.311 4.272
Y In La
1 1 1
Direct
0.351 0.351 0.703 Y
0.993 0.993 0.986 In
0.656 0.656 0.311 La
```

---

Record 3
The following is a meta-GGA SCAN calculation of La2YIn2 at its PBEsol-relaxed geometry, from Alexandria via LeMat-Bulk.

Properties
- energy of formation from the pure elements (eV per atom) = -0.59
- uncorrected energy (eV/atom) = -36.76
- DOS at the Fermi energy (states/eV per atom) = 1.210

Structure (POSCAR):
```
La2YIn2
1.0
4.701 0.000 0.000
0.000 8.127 0.000
0.000 0.000 8.127
Y In La
2 4 4
Direct
0.000 0.000 0.000 Y
0.000 0.500 0.500 Y
0.000 0.373 0.873 In
0.000 0.873 0.627 In
0.000 0.627 0.127 In
0.000 0.127 0.373 In
0.500 0.171 0.671 La
0.500 0.671 0.829 La
0.500 0.829 0.329 La
0.500 0.329 0.171 La
```

---

Record 4
The following is a meta-GGA SCAN calculation of La2YIn at its PBEsol-relaxed geometry, from Alexandria via LeMat-Bulk.

Properties
- energy of formation from the pure elements (eV per atom) = -0.34
- uncorrected energy (eV/atom) = -37.20
- DOS at the Fermi energy (states/eV per atom) = 1.393

Structure (POSCAR):
```
La2YIn
1.0
-4.750 0.584 -0.838
-0.937 -0.897 4.683
3.262 5.015 -0.908
Y In La
1 1 2
Direct
0.500 0.500 0.000 Y
0.250 0.750 0.500 In
0.000 0.000 0.000 La
0.750 0.250 0.500 La
```

---

Record 5
The following is a meta-GGA SCAN calculation of LaYIn at its PBEsol-relaxed geometry, from Alexandria via LeMat-Bulk.

Properties
- energy of formation from the pure elements (eV per atom) = -0.42
- uncorrected energy (eV/atom) = -35.19
- ΔE to the lowest computed polymorph (meV per atom) = 0.0
- DOS at the Fermi energy (states/eV per atom) = 0.769

Structure (POSCAR):
```
LaYIn
1.0
3.585 0.000 0.000
0.000 4.525 0.000
-1.792 -2.262 5.255
Y La In
1 1 1
Direct
0.352 0.352 0.705 Y
0.656 0.656 0.313 La
0.991 0.991 0.983 In
```

---

Record 6
The following is a meta-GGA SCAN calculation of La2Zn2In at its PBEsol-relaxed geometry, from Alexandria via LeMat-Bulk.

Properties
- energy of formation from the pure elements (eV per atom) = -0.25
- uncorrected energy (eV/atom) = -29.57
- DOS at the Fermi energy (states/eV per atom) = 0.931

Structure (POSCAR):
```
La2Zn2In
1.0
5.658 0.019 0.028
-2.577 5.036 -0.028
-2.577 -1.896 4.666
Zn In La
2 1 2
Direct
0.000 0.649 0.649 Zn
0.000 0.351 0.351 Zn
0.000 0.000 0.000 In
0.500 0.750 0.250 La
0.500 0.250 0.750 La
```